(1)
Computed, not measured: a relaxed Li2LaBe crystal at the PBE-GGA level of DFT.

Output
Energy relative to the elements, eV/atom: 0.4099
Total magnetic moment, μB per cell: 0.00

Lattice parameters (Å, degrees): 5.854 11.130 3.274 90.00 122.14 90.00
Element x y z (fractional)
Li 0.250 0.250 0.000
Li 0.250 0.750 0.000
Li 0.750 0.250 0.000
Li 0.750 0.750 0.000
La 0.000 0.000 0.500
La 0.500 0.500 0.500
Be 0.000 0.500 0.500
Be 0.500 0.000 0.500


(2)
Computed, not measured: a relaxed LiTl2BiF6 crystal at the PBE-GGA level of DFT.

Output
Total magnetic moment, μB per cell: 0.00
E_form (uncorrected), eV per atom: -2.234

Lattice parameters (Å, degrees): 6.361 6.361 5.828 90.00 90.00 120.00
Element x y z (fractional)
Li 0.000 0.000 0.000
Tl 0.333 0.667 0.065
Tl 0.667 0.333 0.935
Bi 0.000 0.000 0.500
F 0.149 0.297 0.774
F 0.149 0.851 0.774
F 0.297 0.149 0.226
F 0.703 0.851 0.774
F 0.851 0.149 0.226
F 0.851 0.703 0.226


(3)
Computed, not measured: a relaxed CeErSi2Ni2 crystal at the PBE-GGA level of DFT.

Output
Total magnetic moment, μB per cell: 0.00
E_form (uncorrected), eV per atom: -0.773

Lattice parameters (Å, degrees): 4.049 4.049 7.692 90.00 90.00 120.00
Element x y z (fractional)
Ce 0.000 0.000 0.000
Er 0.000 0.000 0.500
Si 0.333 0.667 0.255
Si 0.667 0.333 0.745
Ni 0.333 0.667 0.738
Ni 0.667 0.333 0.262


(4)
Computed, not measured: a relaxed KTaCd2Te crystal at the PBE-GGA level of DFT.

Output
Total magnetic moment, μB per cell: 3.57
E_form (uncorrected), eV per atom: 1.578

Lattice parameters (Å, degrees): 5.617 5.617 6.103 90.00 90.00 90.00
Element x y z (fractional)
K 0.000 0.000 0.000
Ta 0.500 0.500 0.500
Cd 0.000 0.500 0.000
Cd 0.500 0.000 0.000
Te 0.000 0.000 0.500


- Look up the total magnetic moment of the third one.
  0.00 μB per cell